1.
The following is a GGA-PBE calculation of an optimized crystal structure of NdPuCrN4, from Alexandria via LeMat-Bulk.

Cell: 5.2761 5.2618 6.8345 Å, 90.00 112.71 90.00°
Closest atoms and distances in Å follow each position.
Sites, in units of the cell vectors:
N 0.5000 0.5000 0.5000  2 Cr 1.88
N 0.9394 0.2500 0.8789  1 Pu 2.11
N 0.0000 0.5000 0.5000  2 Cr 1.88
N 0.0000 0.0000 0.5000  2 Cr 1.88
N 0.0606 0.7500 0.1211  1 Pu 2.11
N 0.5000 0.0000 0.5000  2 Cr 1.88
N 0.5854 0.2500 0.1709  1 Cr 1.80
N 0.4146 0.7500 0.8291  1 Cr 1.80
Nd 0.6085 0.7500 0.2170  9 N 2.45-2.71
Nd 0.3915 0.2500 0.7830  9 N 2.45-2.71
Pu 0.1070 0.2500 0.2141  1 N 2.11
Pu 0.8930 0.7500 0.7859  1 N 2.11
Cr 0.2721 0.7500 0.5442  5 N 1.80-1.88
Cr 0.7279 0.2500 0.4558  5 N 1.80-1.88

Results
- Crystal system: orthorhombic
- Energy: -9.77 eV/atom
- ΔE_f (raw): -0.909 eV per atom
- Total moment: 0.669 μB per atom
- D(E_F): 1.0939 states/eV/atom

***

2.
The following is a GGA-PBE calculation of an optimized crystal structure of LiPa4Se7, from Alexandria via LeMat-Bulk.

Cell: 3.9388 7.0068 11.9044 Å, 103.82 90.00 106.32°
Closest atoms and distances in Å follow each position.
Sites, in units of the cell vectors:
Se 0.5238 0.0477 0.5338  2 Li 2.81, 2 Pa 2.84
Se 0.6515 0.3030 0.0459  5 Pa 2.86-3.20
Se 0.2724 0.5449 0.6500  2 Li 2.80, 3 Pa 2.81-2.99
Se 0.0277 0.0555 0.7784  1 Li 2.68, 3 Pa 2.79-2.88
Se 0.9608 0.9217 0.2269  4 Pa 2.84-2.94
Se 0.3307 0.6614 0.9394  5 Pa 2.88-3.04
Se 0.7454 0.4909 0.3476  4 Pa 2.87-2.98, 1 Li 2.90
Pa 0.2932 0.5863 0.1805  7 Se 2.93-3.04
Pa 0.9920 0.9839 0.9996  6 Se 2.79-2.88
Pa 0.6866 0.3731 0.7898  7 Se 2.88-3.20
Pa 0.1276 0.2551 0.4340  6 Se 2.81-2.89
Li 0.8883 0.7765 0.5742  6 Se 2.68-2.90

Results
- Crystal system: monoclinic
- Energy relative to the lowest polymorph listed for this composition: 17 meV/atom
- Energy: -6.64 eV/atom
- ΔE_f (raw): -1.286 eV per atom
- Total moment: 0.450 μB per atom
- D(E_F): 1.3466 states/eV/atom

***

3.
The following is a GGA-PBE calculation of an optimized crystal structure of Hf5NbIn3, from Alexandria via LeMat-Bulk.

Cell: 7.2893 7.2893 9.2105 Å, 113.31 113.31 90.00°
Closest atoms and distances in Å follow each position.
Sites, in units of the cell vectors:
Hf 0.3506 0.8506 0.2836  1 Nb 2.71, 1 In 2.77
Hf 0.5671 0.6494 0.7164  1 Nb 2.71, 1 In 2.77
Hf 0.1494 0.0671 0.7164  1 Nb 2.71, 1 In 2.77
Hf 0.0000 0.0000 0.0000  4 In 2.89
Hf 0.6494 0.1494 0.7164  1 Nb 2.71, 1 In 2.77
Hf 0.8506 0.9329 0.2836  1 Nb 2.71, 1 In 2.77
Hf 0.4329 0.3506 0.2836  1 Nb 2.71, 1 In 2.77
Hf 0.9329 0.4329 0.2836  1 Nb 2.71, 1 In 2.77
Hf 0.5000 0.5000 0.0000  4 In 2.89
Hf 0.0671 0.5671 0.7164  1 Nb 2.71, 1 In 2.77
In 0.6242 0.1242 0.0000  1 In 2.56, 2 Hf 2.77
In 0.7500 0.7500 0.5000  8 Hf 3.09
In 0.8758 0.6242 0.0000  1 In 2.56, 2 Hf 2.77
In 0.1242 0.3758 0.0000  1 In 2.56, 2 Hf 2.77
In 0.2500 0.2500 0.5000  8 Hf 3.09
In 0.3758 0.8758 0.0000  1 In 2.56, 2 Hf 2.77
Nb 0.7500 0.2500 0.5000  4 Hf 2.71
Nb 0.2500 0.7500 0.5000  4 Hf 2.71

Results
- Crystal system: tetragonal
- Energy: -7.28 eV/atom
- DFT formation energy: 0.28 eV per atom
- Total moment: 0.000 μB per atom
- D(E_F): 0.8314 states/eV/atom